1.
This record from OQMD via LeMat-Bulk describes a relaxed CsLu2CuTeS3 crystal. The functional is PBE-GGA.

Structure (POSCAR):
```
CsLu2CuTeS3
1.0
2.036 -7.244 0.000
2.036 7.244 0.000
0.000 0.000 13.889
Cs Lu Cu Te S
2 4 2 2 6
direct
0.098 0.902 0.750
0.902 0.098 0.250
0.351 0.649 0.568
0.351 0.649 0.932
0.649 0.351 0.068
0.649 0.351 0.432
0.175 0.825 0.250
0.825 0.175 0.750
0.000 0.000 0.000
0.000 0.000 0.500
0.260 0.740 0.105
0.260 0.740 0.395
0.407 0.593 0.750
0.593 0.407 0.250
0.740 0.260 0.605
0.740 0.260 0.895
```

## Properties
Electronic total energy ... -5.15 eV per atom

2.
This record from OQMD via LeMat-Bulk describes a relaxed ZrIn2 crystal. The functional is PBE-GGA.

Structure (POSCAR):
```
ZrIn2
1.0
0.000 4.056 4.056
4.056 0.000 4.056
4.056 4.056 0.000
Zr In
2 4
direct
0.125 0.125 0.125
0.875 0.875 0.875
0.000 0.500 0.500
0.500 0.000 0.500
0.500 0.500 0.000
0.500 0.500 0.500
```

## Properties
Electronic total energy ... -4.71 eV per atom

3.
This record from OQMD via LeMat-Bulk describes a relaxed SmCl2 crystal. The functional is PBE-GGA.

Structure (POSCAR):
```
SmCl2
1.0
6.976 0.000 0.000
0.000 6.976 0.000
0.000 0.000 3.580
Sm Cl
2 4
direct
0.000 0.000 0.000
0.500 0.500 0.500
0.219 0.219 0.500
0.281 0.719 0.000
0.719 0.281 0.000
0.781 0.781 0.500
```

## Properties
Electronic total energy ... -4.73 eV per atom

4.
This record from OQMD via LeMat-Bulk describes a relaxed Ac2CdSi2 crystal. The functional is PBE-GGA.

Structure (POSCAR):
```
Ac2CdSi2
1.0
7.778 0.000 0.000
0.000 7.778 0.000
0.000 0.000 4.594
Ac Cd Si
4 2 4
direct
0.182 0.318 0.000
0.318 0.818 0.000
0.682 0.182 0.000
0.818 0.682 0.000
0.000 0.000 0.500
0.500 0.500 0.500
0.110 0.610 0.500
0.390 0.110 0.500
0.610 0.890 0.500
0.890 0.390 0.500
```

## Properties
Electronic total energy ... -4.52 eV per atom

5.
This record from OQMD via LeMat-Bulk describes a relaxed PrBePt crystal. The functional is PBE-GGA.

Structure (POSCAR):
```
PrBePt
1.0
0.000 3.272 3.272
3.272 0.000 3.272
3.272 3.272 0.000
Pr Be Pt
1 1 1
direct
0.000 0.000 0.000
0.500 0.500 0.500
0.750 0.750 0.750
```

## Properties
Electronic total energy ... -5.12 eV per atom

6.
This record from OQMD via LeMat-Bulk describes a relaxed HfBe2W crystal. The functional is PBE-GGA.

Structure (POSCAR):
```
HfBe2W
1.0
0.000 3.071 3.071
3.071 0.000 3.071
3.071 3.071 0.000
Hf Be W
1 2 1
direct
0.000 0.000 0.000
0.250 0.250 0.250
0.500 0.500 0.500
0.750 0.750 0.750
```

## Properties
Electronic total energy ... -7.00 eV per atom

Question: Which of these has the lowest electronic total energy?
Answer: HfBe2W

Question: Look up the electronic total energy of the sixth one.
Answer: -7.00 eV per atom

Question: The lowest electronic total energy belongs to which entry?
Answer: HfBe2W